20
Lattice="4.941 -4.306 0.000 4.941 4.306 0.000 -2.769 0.000 6.409" Properties=species:S:1:pos:R:3 comment="Li2ScAsO6 | Alexandria via LeMat-Bulk | PBE | relaxed" spacegroup=C2/c volume_a3_per_atom=13.64 dos_ef_per_ev_cell=0.00 total_magnetization_mub_per_cell=0.1 final_energy_ev_per_atom=-6.3585 pbc="T T T"
Li 1.298 0.436 0.328
Li -0.087 -0.436 3.533
Li 7.200 0.436 2.876
Li 5.815 -0.436 6.081
Sc 2.864 1.795 4.807
Sc 4.249 -1.795 1.602
As 4.249 1.085 1.602
As 2.864 -1.085 4.807
O 0.011 0.599 1.881
O -1.374 -0.599 5.085
O 4.640 2.084 0.270
O 3.858 2.084 2.935
O 1.625 0.049 4.374
O 3.009 -0.049 1.170
O 4.104 0.049 5.239
O 5.489 -0.049 2.035
O 3.255 -2.084 3.474
O 2.474 -2.084 6.140
O 8.487 0.599 1.324
O 7.102 -0.599 4.528